Entry 1:
{"formula": "CsAsSCl2", "functional": "PBE-GGA", "state": "relaxed", "cell": [[5.4094, 0.0000, 0.0000], [0.0000, 5.4094, 0.0000], [0.0000, 0.0000, 4.7655]], "species": ["Cs", "As", "S", "Cl", "Cl"], "frac_coords": [[0.0000, 0.0000, 0.0000], [0.5000, 0.5000, 0.5000], [0.5000, 0.5000, 0.0000], [0.0000, 0.5000, 0.5000], [0.5000, 0.0000, 0.5000]], "total_magnetization_mub_per_cell": 0.00, "sg": "P4/mmm", "dos_at_fermi_per_ev_cell": 1.30, "relative_energy_mev_per_atom": 0, "formation_energy_uncorrected_kj_per_mol_atoms": -79.96, "final_energy_ev_per_atom": -3.49}



Entry 2:
{"formula": "LiNd2Co", "functional": "PBE-GGA", "state": "relaxed", "cell": [[3.4854, 0.0000, 0.0000], [0.0000, 3.4854, 0.0000], [0.0000, 0.0000, 8.2563]], "species": ["Li", "Nd", "Nd", "Co"], "frac_coords": [[0.0000, 0.0000, 0.0000], [0.5000, 0.5000, 0.2965], [0.5000, 0.5000, 0.7035], [0.0000, 0.0000, 0.5000]], "total_magnetization_mub_per_cell": 0.68, "sg": "P4/mmm", "dos_at_fermi_per_ev_cell": 3.59, "final_energy_ev_per_atom": -4.60}



Entry 3:
{"formula": "Zr2Sb", "functional": "PBE-GGA", "state": "relaxed", "cell": [[-1.8790, 1.8790, 4.7943], [1.8790, -1.8790, 4.7943], [1.8790, 1.8790, -4.7943]], "species": ["Zr", "Zr", "Sb"], "frac_coords": [[0.1622, 0.1622, 0.0000], [0.8378, 0.8378, 0.0000], [0.5000, 0.5000, 0.0000]], "total_magnetization_mub_per_cell": 0.00, "sg": "I4/mmm", "dos_at_fermi_per_ev_cell": 2.78, "formation_energy_uncorrected_kj_per_mol_atoms": -51.60, "final_energy_ev_per_atom": -7.61}



Entry 4:
{"formula": "LiSm2Si3Pd4", "functional": "PBE-GGA", "state": "relaxed", "cell": [[4.2167, 0.0000, 0.0000], [0.0000, 4.2167, 0.0000], [0.0000, 0.0000, 9.9792]], "species": ["Li", "Sm", "Sm", "Si", "Si", "Si", "Pd", "Pd", "Pd", "Pd"], "frac_coords": [[0.0000, 0.0000, 0.0000], [0.0000, 0.5000, 0.7515], [0.5000, 0.0000, 0.2485], [0.0000, 0.5000, 0.3668], [0.5000, 0.0000, 0.6332], [0.5000, 0.5000, 0.0000], [0.0000, 0.0000, 0.5000], [0.0000, 0.5000, 0.1265], [0.5000, 0.0000, 0.8735], [0.5000, 0.5000, 0.5000]], "total_magnetization_mub_per_cell": 0.00, "sg": "P-4m2", "dos_at_fermi_per_ev_cell": 5.99, "formation_energy_uncorrected_kj_per_mol_atoms": -83.95, "final_energy_ev_per_atom": -5.71}



Repeat the third record exactly.
{"formula": "Zr2Sb", "functional": "PBE-GGA", "state": "relaxed", "cell": [[-1.8790, 1.8790, 4.7943], [1.8790, -1.8790, 4.7943], [1.8790, 1.8790, -4.7943]], "species": ["Zr", "Zr", "Sb"], "frac_coords": [[0.1622, 0.1622, 0.0000], [0.8378, 0.8378, 0.0000], [0.5000, 0.5000, 0.0000]], "total_magnetization_mub_per_cell": 0.00, "sg": "I4/mmm", "dos_at_fermi_per_ev_cell": 2.78, "formation_energy_uncorrected_kj_per_mol_atoms": -51.60, "final_energy_ev_per_atom": -7.61}



Copy entry 3 word for word.
{"formula": "Zr2Sb", "functional": "PBE-GGA", "state": "relaxed", "cell": [[-1.8790, 1.8790, 4.7943], [1.8790, -1.8790, 4.7943], [1.8790, 1.8790, -4.7943]], "species": ["Zr", "Zr", "Sb"], "frac_coords": [[0.1622, 0.1622, 0.0000], [0.8378, 0.8378, 0.0000], [0.5000, 0.5000, 0.0000]], "total_magnetization_mub_per_cell": 0.00, "sg": "I4/mmm", "dos_at_fermi_per_ev_cell": 2.78, "formation_energy_uncorrected_kj_per_mol_atoms": -51.60, "final_energy_ev_per_atom": -7.61}